# CuRhCl PBEsol optimized geometry
# Energy relative to the elements, uncorrected: 1.8 eV/f.u.
# ρ: 6.93 Mg/m³
# Total magnetic moment: 1.51 Bohr magnetons per cell
data_CuRhCl
_chemical_formula_sum 'Cu4 Rh4 Cl4'
_symmetry_space_group_name_H-M 'F -4 3 m'
_symmetry_Int_Tables_number 216
_symmetry_space_group_name_Hall 'F -4 2 3'
_cell_length_a 5.785
_cell_length_b 5.785
_cell_length_c 5.785
_cell_angle_alpha 90.00
_cell_angle_beta 90.00
_cell_angle_gamma 90.00
loop_
_atom_site_label
_atom_site_fract_x
_atom_site_fract_y
_atom_site_fract_z
Cu1 0.000 0.000 0.000
Rh1 0.250 0.250 0.250
Cl1 0.000 0.000 0.500